Crystalline BaGaP2H at its relaxed geometry, computed with GGA-PBE.

a b c (Å): 3.750 6.637 9.244
angles (deg): 102.96 90.00 106.41
Fractional coordinates of all 10 atoms:
Ba (0.331, 0.661, 0.309)
Ba (0.669, 0.339, 0.691)
Ga (0.057, 0.113, 0.177)
Ga (0.943, 0.887, 0.823)
P (0.385, 0.770, 0.670)
P (0.615, 0.230, 0.330)
P (0.131, 0.262, 0.955)
P (0.869, 0.738, 0.045)
H (0.628, 0.255, 0.955)
H (0.372, 0.745, 0.045)

Summary:
Final energy, eV/atom: -4.2219

=====

Crystalline BaGa2PH2 at its relaxed geometry, computed with GGA-PBE.

a b c (Å): 5.316 6.964 6.487
angles (deg): 100.38 90.00 90.00
Fractional coordinates of all 12 atoms:
Ba (0.750, 0.366, 0.734)
Ba (0.250, 0.634, 0.266)
Ga (0.507, 0.140, 0.252)
Ga (0.993, 0.140, 0.252)
Ga (0.007, 0.860, 0.748)
Ga (0.493, 0.860, 0.748)
P (0.250, 0.202, 0.954)
P (0.750, 0.798, 0.046)
H (0.250, 0.008, 0.349)
H (0.250, 0.329, 0.444)
H (0.750, 0.992, 0.651)
H (0.750, 0.671, 0.556)

Summary:
Final energy, eV/atom: -3.5704

=====

Crystalline Ba2GaH6Pd at its relaxed geometry, computed with GGA-PBE.

a b c (Å): 5.769 5.769 5.807
angles (deg): 60.14 60.14 90.02
Fractional coordinates of all 10 atoms:
Ba (0.750, 0.250, 0.500)
Ba (0.250, 0.750, 0.500)
Ga (0.000, 0.000, 0.000)
H (0.276, 0.276, 0.448)
H (0.724, 0.724, 0.999)
H (0.276, 0.724, 0.000)
H (0.724, 0.276, 0.000)
H (0.276, 0.276, 0.001)
H (0.724, 0.724, 0.552)
Pd (0.500, 0.500, 0.000)

Summary:
Final energy, eV/atom: -3.5624

=====

Crystalline Ba2GaHPt at its relaxed geometry, computed with GGA-PBE.

a b c (Å): 5.810 5.810 3.774
angles (deg): 90.00 90.00 90.00
Fractional coordinates of all 5 atoms:
H (0.000, 0.000, 0.000)
Ga (0.500, 0.500, 0.500)
Ba (0.000, 0.500, 0.000)
Ba (0.500, 0.000, 0.000)
Pt (0.000, 0.000, 0.500)

Summary:
Final energy, eV/atom: -3.7040

=====

Crystalline RbBaGa2H8 at its relaxed geometry, computed with GGA-PBE.

a b c (Å): 5.075 5.075 8.687
angles (deg): 73.01 73.01 60.00
Fractional coordinates of all 12 atoms:
Rb (0.000, 0.000, 0.000)
Ba (0.500, 0.500, 0.500)
Ga (0.247, 0.247, 0.258)
Ga (0.753, 0.753, 0.742)
H (0.180, 0.180, 0.461)
H (0.440, 0.440, 0.197)
H (0.820, 0.820, 0.539)
H (0.923, 0.440, 0.197)
H (0.077, 0.560, 0.803)
H (0.440, 0.923, 0.197)
H (0.560, 0.077, 0.803)
H (0.560, 0.560, 0.803)

Summary:
Final energy, eV/atom: -3.1608

=====

Crystalline BaGaH8Rh2 at its relaxed geometry, computed with GGA-PBE.

a b c (Å): 4.823 4.823 6.537
angles (deg): 68.35 68.35 60.00
Fractional coordinates of all 12 atoms:
Ba (0.500, 0.500, 0.500)
Ga (0.000, 0.000, 0.000)
H (0.198, 0.198, 0.406)
H (0.616, 0.072, 0.240)
H (0.802, 0.802, 0.594)
H (0.072, 0.616, 0.240)
H (0.928, 0.384, 0.760)
H (0.072, 0.072, 0.240)
H (0.928, 0.928, 0.760)
H (0.384, 0.928, 0.760)
Rh (0.288, 0.288, 0.137)
Rh (0.712, 0.712, 0.863)

Summary:
Final energy, eV/atom: -4.0181

=====

> Which of these has the lowest final energy?

BaGaP2H